VASP calculation (GGA+U) on a geometry-optimized Fe2O3 structure.

## Properties
The calculation puts the calculated total energy at -5.8516 eV per atom. The space-group type is No. 143. The density of states at the Fermi level comes out at 6.8 states/eV per cell. Its crystal system is trigonal.

Cell: 5.7096 5.7096 12.3071 Å, 90.00 90.00 120.00°
Sites, in units of the cell vectors:
Fe 0.0000 0.0000 0.0000
Fe 0.0000 0.0000 0.2082
Fe 0.0000 0.0000 0.4373
Fe 0.0000 0.0000 0.6676
Fe 0.0023 0.5349 0.8257
Fe 0.3333 0.6667 0.0500
Fe 0.4333 0.0026 0.4882
Fe 0.4651 0.4674 0.8257
Fe 0.5326 0.9977 0.8257
Fe 0.5693 0.5667 0.4882
Fe 0.6667 0.3333 0.1597
Fe 0.9974 0.4307 0.4882
O 0.0004 0.6956 0.1134
O 0.0512 0.7664 0.5542
O 0.1429 0.8431 0.3372
O 0.1442 0.3609 0.9277
O 0.1569 0.2998 0.3372
O 0.2167 0.8558 0.9277
O 0.2336 0.2848 0.5542
O 0.3044 0.3048 0.1134
O 0.3325 0.1293 0.7434
O 0.4302 0.3559 0.3465
O 0.6391 0.7833 0.9277
O 0.6441 0.0743 0.3465
O 0.6952 0.9996 0.1134
O 0.7002 0.8571 0.3372
O 0.7152 0.9488 0.5542
O 0.7968 0.6675 0.7434
O 0.8707 0.2032 0.7434
O 0.9257 0.5698 0.3465